1.
This record from Alexandria describes crystalline LiMn2Hg at its relaxed geometry. The functional is PBE.

Summary:
**N(E_F)**: 3.74 states/eV per cell
**Raw total energy**: -4.808 eV/atom
**Calculated formation energy**: 331 meV per atom

abc: 2.8122 4.5041 5.2518
angles: 90.00 102.76 90.00
Element x y z (fractional)
Li 0.0000 0.0000 0.0000
Mn 0.1780 0.5000 0.7678
Mn 0.8220 0.5000 0.2322
Hg 0.5000 0.0000 0.5000

***

2.
This record from Alexandria describes crystalline LiMnHg at its relaxed geometry. The functional is PBE.

Summary:
**N(E_F)**: 1.56 states/eV per cell
**Excess energy over the best structure of this formula in the dataset**: 0 meV/atom
**Raw total energy**: -3.674 eV/atom
**Calculated formation energy**: 121 meV per atom

abc: 4.9729 4.9729 4.9729
angles: 144.44 132.77 60.49
Element x y z (fractional)
Li 0.0000 0.0000 0.0000
Mn 0.3305 0.3305 0.0000
Hg 0.6638 0.6638 0.0000